First-principles (GGA+U) data for an optimized crystal structure of LaVP2O, as listed in Alexandria via LeMat-Bulk.

The structure in POSCAR format:
```
LaVP2O
1.0
4.818 0.000 0.000
0.000 4.818 0.000
0.000 0.000 3.783
La V P O
1 1 2 1
Direct
0.000 0.000 0.000
0.500 0.500 0.500
0.000 0.500 0.500
0.500 0.000 0.500
0.500 0.500 0.000
```

volume	17.6	A^3/atom
raw total energy	-6.57	eV/atom